[1]
This record from Alexandria describes crystalline SrPAu2Se at its relaxed geometry. The functional is GGA-PBE.

Calculated values
- Total DFT energy (no corrections): -3.954 eV per atom
- Calculated volume: 24.73 Å³/atom
- Total moment: 0.0000 μB/atom

Cell: 4.746 4.746 5.490 Å, 90.00 90.00 90.00°
Sites, in units of the cell vectors:
Sr 0.500 0.500 0.500
Au 0.500 0.000 0.000
Au 0.000 0.500 0.000
Se 0.000 0.000 0.500
P 0.000 0.000 0.000

[2]
This record from Alexandria describes crystalline Tb8P3AuSe4 at its relaxed geometry. The functional is GGA-PBE.

Calculated values
- Total DFT energy (no corrections): -6.044 eV per atom
- Calculated volume: 24.17 Å³/atom
- Total moment: 0.0000 μB/atom

Cell: 8.157 8.199 8.157 Å, 119.83 120.00 90.00°
Sites, in units of the cell vectors:
Se 0.000 0.000 0.000
Se 0.500 0.000 0.500
Se 0.500 0.000 0.000
Se 0.000 0.000 0.500
Tb 0.251 0.739 0.502
Tb 0.743 0.728 0.485
Tb 0.257 0.272 0.515
Tb 0.263 0.261 0.012
Tb 0.749 0.261 0.498
Tb 0.251 0.739 0.988
Tb 0.749 0.261 0.012
Tb 0.737 0.739 0.988
P 0.000 0.500 0.500
P 0.500 0.500 0.000
P 0.500 0.500 0.500
Au 0.000 0.500 0.000

[3]
This record from Alexandria describes crystalline TcP2AuSe at its relaxed geometry. The functional is GGA-PBE.

Calculated values
- Total DFT energy (no corrections): -5.022 eV per atom
- Calculated volume: 21.48 Å³/atom
- Total moment: 0.0000 μB/atom

Cell: 4.426 4.426 5.483 Å, 90.00 90.00 90.00°
Sites, in units of the cell vectors:
Se 0.500 0.500 0.500
P 0.500 0.000 0.000
P 0.000 0.500 0.000
Au 0.000 0.000 0.500
Tc 0.000 0.000 0.000

[4]
This record from Alexandria describes crystalline Th6P2AuSe3 at its relaxed geometry. The functional is GGA-PBE.

Calculated values
- Total DFT energy (no corrections): -7.153 eV per atom
- Calculated volume: 26.50 Å³/atom
- Total moment: 0.0000 μB/atom

Cell: 4.164 8.520 9.442 Å, 102.93 102.74 90.00°
Sites, in units of the cell vectors:
Th 0.331 0.900 0.662
Th 0.993 0.748 0.986
Th 0.670 0.573 0.340
Th 0.330 0.427 0.660
Th 0.669 0.100 0.338
Th 0.007 0.252 0.014
Se 0.837 0.167 0.673
Se 0.163 0.833 0.327
Se 0.500 0.500 0.000
P 0.169 0.336 0.338
P 0.831 0.664 0.662
Au 0.500 0.000 0.000

| no. | mass density (g/cm³) |
| --- | --- |
| 1 | 7.9 |
| 2 | 8.1 |
| 3 | 6.7 |
| 4 | 9.9 |